# 1
Entry from the Alexandria database: a relaxed structure of KAl2Cr (PBE).

```
KAl2Cr
1.0
5.379 0.000 0.000
0.000 5.379 0.000
2.689 2.689 8.914
Al K Cr
4 2 2
direct
0.875 0.125 0.250 Al
0.875 0.125 0.750 Al
0.875 0.625 0.250 Al
0.375 0.125 0.750 Al
0.250 0.750 0.500 K
0.500 0.500 0.000 K
0.000 0.000 0.000 Cr
0.750 0.250 0.500 Cr
```

- Crystal system: tetragonal
- Formation energy from the elements: 0.68 eV/atom
- Energy above the most stable polymorph in this dataset: 0.439 eV per atom

---

# 2
Entry from the Alexandria database: a relaxed structure of KAlCr2 (PBE).

```
KAlCr2
1.0
3.398 0.000 0.000
0.000 3.398 0.000
0.000 0.000 7.382
Al Cr K
1 2 1
direct
0.500 0.500 0.750 Al
0.000 0.000 0.622 Cr
0.000 0.000 0.878 Cr
0.500 0.500 0.250 K
```

- Crystal system: tetragonal
- Formation energy from the elements: 0.70 eV/atom

---

# 3
Entry from the Alexandria database: a relaxed structure of K2AlCr (PBE).

```
K2AlCr
1.0
-4.608 1.420 -4.087
-1.215 -1.341 6.056
0.332 3.721 0.902
Cr K Al
1 2 1
direct
0.000 0.500 0.500 Cr
0.000 0.000 0.000 K
0.500 0.500 0.000 K
0.500 0.000 0.500 Al
```

- Crystal system: monoclinic
- Formation energy from the elements: 0.83 eV/atom